This record from Alexandria describes an optimized crystal structure of SrLiOs2Pb. The functional is PBE.

Values from the calculation:
- Formation energy: 1288 meV/atom
- Volume: 25.65 Å³/atom
- Total DFT energy (no corrections): -4.665 eV/atom

Cell lengths 5.1035, 5.1035, 4.9231 Å; angles 90.00, 90.00, 90.00 degrees
With the nearest neighbours (Å) after each atom.
Fractional positions:
Sr1 0.0000 0.0000 0.0000  8 Os 3.55, 4 Li 3.61
Li1 0.5000 0.5000 0.0000  2 Pb 2.46
Os1 0.0000 0.5000 0.5000  2 Pb 2.55
Os2 0.5000 0.0000 0.5000  2 Pb 2.55
Pb1 0.5000 0.5000 0.5000  2 Li 2.46, 4 Os 2.55


This record from Alexandria describes an optimized crystal structure of LiTeOsPb2. The functional is PBE.

Values from the calculation:
- Uncorrected formation energy: 0.490 eV/atom
- Volume: 31.10 Å³/atom
- Total DFT energy (no corrections): -4.250 eV/atom

Cell lengths 5.2462, 5.2462, 5.6501 Å; angles 90.00, 90.00, 90.00 degrees
With the nearest neighbours (Å) after each atom.
Fractional positions:
Li1 0.0000 0.0000 0.0000  4 Te 3.71, 8 Pb 3.86
Te1 0.5000 0.5000 0.0000  2 Os 2.83
Os1 0.5000 0.5000 0.5000  4 Pb 2.62, 2 Te 2.83
Pb1 0.0000 0.5000 0.5000  2 Os 2.62
Pb2 0.5000 0.0000 0.5000  2 Os 2.62


This record from Alexandria describes an optimized crystal structure of LiTh2OsPb. The functional is PBE.

Values from the calculation:
- Formation energy: -292 meV/atom
- Volume: 26.23 Å³/atom
- Total DFT energy (no corrections): -6.630 eV/atom

Cell lengths 8.1985, 4.0523, 8.3218 Å; angles 90.00, 108.44, 90.00 degrees
With the nearest neighbours (Å) after each atom.
Fractional positions:
Li1 0.1411 0.2500 0.0710  1 Os 2.75, 3 Pb 2.92-2.99, 2 Li 3.02
Li2 0.8589 0.7500 0.9290  1 Os 2.75, 3 Pb 2.92-2.99, 2 Li 3.02
Th1 0.1543 0.7500 0.4100  2 Os 2.80
Th2 0.4951 0.2500 0.7742  3 Os 2.80-3.05
Th3 0.5049 0.7500 0.2258  3 Os 2.80-3.05
Th4 0.8457 0.2500 0.5900  2 Os 2.80
Os1 0.3817 0.2500 0.3884  1 Li 2.75, 5 Th 2.80-3.05, 2 Os 3.01
Os2 0.6183 0.7500 0.6116  1 Li 2.75, 5 Th 2.80-3.05, 2 Os 3.01
Pb1 0.1811 0.7500 0.8335  3 Li 2.92-2.99
Pb2 0.8189 0.2500 0.1665  3 Li 2.92-2.99


This record from Alexandria describes an optimized crystal structure of LiYOs2Pb. The functional is PBE.

Values from the calculation:
- Formation energy: 1181 meV/atom
- Volume: 22.88 Å³/atom
- Total DFT energy (no corrections): -5.729 eV/atom

Cell lengths 5.0299, 5.0299, 4.5216 Å; angles 90.00, 90.00, 90.00 degrees
With the nearest neighbours (Å) after each atom.
Fractional positions:
Li1 0.0000 0.0000 0.0000  2 Pb 2.26
Y1 0.5000 0.5000 0.0000  8 Os 3.38, 4 Li 3.56
Os1 0.0000 0.5000 0.5000  2 Pb 2.51
Os2 0.5000 0.0000 0.5000  2 Pb 2.51
Pb1 0.0000 0.0000 0.5000  2 Li 2.26, 4 Os 2.51